5
Lattice="4.920 0.000 0.000 0.000 4.920 0.000 0.000 0.000 5.115" Properties=species:S:1:pos:R:3 comment="PBE-GGA NaSnS2Cl, optimized geometry" magmom_total_mub_per_fu=0.21 raw_formation_energy_ev_per_atom=0.12 de_polymorph_ev_per_atom=0.637 pbc="T T T"
Na 0.000 0.000 0.000
Sn 2.460 2.460 2.557
S 0.000 2.460 0.000
S 2.460 0.000 0.000
Cl 0.000 0.000 2.557